First-principles (PBE) data for a relaxed structure of ReGe2H2, as listed in the Alexandria database.

Values from the calculation:
The crystal system is tetragonal. As for the space group: No. 139. The calculation puts the energy above the most stable polymorph in this dataset at 0.000 eV per formula unit.

Unit cell a=4.646 b=4.646 c=4.230 alpha=56.70 beta=56.70 gamma=90.00
Positions (direct):
1 Ge 0.250 0.750 0.500
2 Ge 0.750 0.250 0.500
3 H 0.673 0.673 0.655
4 H 0.327 0.327 0.345
5 Re 0.000 0.000 0.000